# 1
Here is an optimized crystal structure of RbInHgH2 from Alexandria via LeMat-Bulk. Energies are from PBE.

The structure in CIF format:
```
data_RbInHgH2
_symmetry_space_group_name_H-M 'P 1'
_symmetry_Int_Tables_number 1
_symmetry_space_group_name_Hall 'P 1'
_cell_length_a 4.632
_cell_length_b 5.624
_cell_length_c 4.632
_cell_angle_alpha 90.00
_cell_angle_beta 90.00
_cell_angle_gamma 90.00
loop_
_atom_site_label
_atom_site_type_symbol
_atom_site_fract_x
_atom_site_fract_y
_atom_site_fract_z
H1 H 0.000 0.000 0.500
H2 H 0.500 0.000 0.000
Hg1 Hg 0.000 0.500 0.000
Rb1 Rb 0.500 0.500 0.500
In1 In 0.000 0.000 0.000
```

Summary:
Magnetization: 0.00 μB per cell
DOS at the Fermi energy: 0.224 states/eV/atom
VASP energy: -9.7 eV per formula unit

=====

# 2
Here is an optimized crystal structure of Rb2InHgH6 from Alexandria via LeMat-Bulk. Energies are from PBE.

The structure in CIF format:
```
data_Rb2InHgH6
_symmetry_space_group_name_H-M 'P 1'
_symmetry_Int_Tables_number 1
_symmetry_space_group_name_Hall 'P 1'
_cell_length_a 5.992
_cell_length_b 5.992
_cell_length_c 6.029
_cell_angle_alpha 60.19
_cell_angle_beta 60.19
_cell_angle_gamma 89.99
loop_
_atom_site_label
_atom_site_type_symbol
_atom_site_fract_x
_atom_site_fract_y
_atom_site_fract_z
Rb1 Rb 0.750 0.250 0.500
Rb2 Rb 0.250 0.750 0.500
In1 In 0.000 0.000 0.000
Hg1 Hg 0.500 0.500 0.000
H1 H 0.235 0.235 0.530
H2 H 0.763 0.763 0.000
H3 H 0.237 0.763 0.000
H4 H 0.763 0.237 0.000
H5 H 0.237 0.237 0.000
H6 H 0.765 0.765 0.470
```

Summary:
Magnetization: 0.00 μB per cell
DOS at the Fermi energy: 0.037 states/eV/atom
VASP energy: -25.0 eV per formula unit

=====

# 3
Here is an optimized crystal structure of In2HgHRh from Alexandria via LeMat-Bulk. Energies are from PBE.

The structure in CIF format:
```
data_In2HgHRh
_symmetry_space_group_name_H-M 'P 1'
_symmetry_Int_Tables_number 1
_symmetry_space_group_name_Hall 'P 1'
_cell_length_a 5.346
_cell_length_b 5.346
_cell_length_c 3.493
_cell_angle_alpha 90.00
_cell_angle_beta 90.00
_cell_angle_gamma 90.00
loop_
_atom_site_label
_atom_site_type_symbol
_atom_site_fract_x
_atom_site_fract_y
_atom_site_fract_z
H1 H 0.000 0.000 0.500
Rh1 Rh 0.000 0.000 0.000
Hg1 Hg 0.500 0.500 0.500
In1 In 0.000 0.500 0.000
In2 In 0.500 0.000 0.000
```

Summary:
Magnetization: 0.00 μB per cell
DOS at the Fermi energy: 0.427 states/eV/atom
VASP energy: -16.5 eV per formula unit

=====

# 4
Here is an optimized crystal structure of InHg2SbH from Alexandria via LeMat-Bulk. Energies are from PBE.

The structure in CIF format:
```
data_InHg2SbH
_symmetry_space_group_name_H-M 'P 1'
_symmetry_Int_Tables_number 1
_symmetry_space_group_name_Hall 'P 1'
_cell_length_a 5.821
_cell_length_b 5.821
_cell_length_c 3.742
_cell_angle_alpha 90.00
_cell_angle_beta 90.00
_cell_angle_gamma 90.00
loop_
_atom_site_label
_atom_site_type_symbol
_atom_site_fract_x
_atom_site_fract_y
_atom_site_fract_z
Sb1 Sb 0.000 0.000 0.000
Hg1 Hg 0.000 0.500 0.000
Hg2 Hg 0.500 0.000 0.000
H1 H 0.000 0.000 0.500
In1 In 0.500 0.500 0.500
```

Summary:
Magnetization: 0.00 μB per cell
DOS at the Fermi energy: 0.276 states/eV/atom
VASP energy: -9.7 eV per formula unit

=====

# 5
Here is an optimized crystal structure of ScIn2HgH from Alexandria via LeMat-Bulk. Energies are from PBE.

The structure in CIF format:
```
data_ScIn2HgH
_symmetry_space_group_name_H-M 'P 1'
_symmetry_Int_Tables_number 1
_symmetry_space_group_name_Hall 'P 1'
_cell_length_a 4.675
_cell_length_b 4.675
_cell_length_c 4.299
_cell_angle_alpha 90.00
_cell_angle_beta 90.00
_cell_angle_gamma 90.00
loop_
_atom_site_label
_atom_site_type_symbol
_atom_site_fract_x
_atom_site_fract_y
_atom_site_fract_z
Sc1 Sc 0.000 0.000 0.500
H1 H 0.000 0.000 0.000
Hg1 Hg 0.500 0.500 0.500
In1 In 0.000 0.500 0.000
In2 In 0.500 0.000 0.000
```

Summary:
Magnetization: 0.00 μB per cell
DOS at the Fermi energy: 0.382 states/eV/atom
VASP energy: -16.0 eV per formula unit

=====

# 6
Here is an optimized crystal structure of ScInHg2H from Alexandria via LeMat-Bulk. Energies are from PBE.

The structure in CIF format:
```
data_ScInHg2H
_symmetry_space_group_name_H-M 'P 1'
_symmetry_Int_Tables_number 1
_symmetry_space_group_name_Hall 'P 1'
_cell_length_a 4.851
_cell_length_b 4.037
_cell_length_c 4.851
_cell_angle_alpha 90.00
_cell_angle_beta 90.00
_cell_angle_gamma 90.00
loop_
_atom_site_label
_atom_site_type_symbol
_atom_site_fract_x
_atom_site_fract_y
_atom_site_fract_z
Sc1 Sc 0.000 0.500 0.000
H1 H 0.000 0.000 0.000
Hg1 Hg 0.000 0.000 0.500
Hg2 Hg 0.500 0.000 0.000
In1 In 0.500 0.500 0.500
```

Summary:
Magnetization: 0.00 μB per cell
DOS at the Fermi energy: 0.461 states/eV/atom
VASP energy: -13.6 eV per formula unit

=====

# 7
Here is an optimized crystal structure of In2SiHgH from Alexandria via LeMat-Bulk. Energies are from PBE.

The structure in CIF format:
```
data_In2SiHgH
_symmetry_space_group_name_H-M 'P 1'
_symmetry_Int_Tables_number 1
_symmetry_space_group_name_Hall 'P 1'
_cell_length_a 5.477
_cell_length_b 5.477
_cell_length_c 3.402
_cell_angle_alpha 90.00
_cell_angle_beta 90.00
_cell_angle_gamma 90.00
loop_
_atom_site_label
_atom_site_type_symbol
_atom_site_fract_x
_atom_site_fract_y
_atom_site_fract_z
H1 H 0.000 0.000 0.500
Si1 Si 0.000 0.000 0.000
Hg1 Hg 0.500 0.500 0.500
In1 In 0.000 0.500 0.000
In2 In 0.500 0.000 0.000
```

Summary:
Magnetization: 0.00 μB per cell
DOS at the Fermi energy: 0.338 states/eV/atom
VASP energy: -13.6 eV per formula unit

=====

# 8
Here is an optimized crystal structure of InSiHg2H from Alexandria via LeMat-Bulk. Energies are from PBE.

The structure in CIF format:
```
data_InSiHg2H
_symmetry_space_group_name_H-M 'P 1'
_symmetry_Int_Tables_number 1
_symmetry_space_group_name_Hall 'P 1'
_cell_length_a 4.297
_cell_length_b 5.382
_cell_length_c 4.297
_cell_angle_alpha 90.00
_cell_angle_beta 90.00
_cell_angle_gamma 90.00
loop_
_atom_site_label
_atom_site_type_symbol
_atom_site_fract_x
_atom_site_fract_y
_atom_site_fract_z
H1 H 0.000 0.000 0.000
Si1 Si 0.500 0.500 0.500
Hg1 Hg 0.000 0.000 0.500
Hg2 Hg 0.500 0.000 0.000
In1 In 0.000 0.500 0.000
```

Summary:
Magnetization: 0.00 μB per cell
DOS at the Fermi energy: 0.453 states/eV/atom
VASP energy: -9.3 eV per formula unit

=====

- VASP energy of number 4 (InHg2SbH)?
  -9.7 eV per formula unit

=====

- Number 3 is which compound?
  In2HgHRh

=====

- Which value of DOS at the Fermi energy does entry 4 give?
  0.276 states/eV/atom

=====

- What is the formula in the sixth record?
  ScInHg2H